Here is a relaxed ErAlPd crystal from the Alexandria database. Energies are from GGA-PBEsol.

## Properties
DFT total energy = -5.894 eV per atom
D(E_F) = 1.27 states/eV/f.u.

Unit cell a=4.356 b=6.775 c=7.673 alpha=90.00 beta=90.00 gamma=90.00
Atoms (fractional coordinates):
Al  0.750  0.856  0.938
Al  0.750  0.356  0.562
Al  0.250  0.144  0.062
Al  0.250  0.644  0.438
Pd  0.750  0.731  0.618
Pd  0.750  0.231  0.882
Pd  0.250  0.269  0.382
Pd  0.250  0.769  0.118
Er  0.750  0.968  0.320
Er  0.750  0.468  0.180
Er  0.250  0.032  0.680
Er  0.250  0.532  0.820